(1)
Ce3Cr5H12 | PBE | optimized geometry

Values from the calculation:
E, eV per atom: -5.367
Space-group type: Ia-3d (230)
Spin magnetization, μB/atom: 0.545
Crystal system: cubic

a b c (Å): 10.108 10.108 10.108
angles (deg): 109.47 109.47 109.47
Fractional positions:
Ce 0.125 0.250 0.375
Ce 0.125 0.375 0.750
Ce 0.250 0.375 0.125
Ce 0.250 0.875 0.625
Ce 0.375 0.125 0.250
Ce 0.375 0.750 0.125
Ce 0.625 0.250 0.875
Ce 0.625 0.875 0.750
Ce 0.750 0.125 0.375
Ce 0.750 0.625 0.875
Ce 0.875 0.625 0.250
Ce 0.875 0.750 0.625
Cr 0.000 0.000 0.000
Cr 0.000 0.000 0.500
Cr 0.000 0.500 0.000
Cr 0.000 0.500 0.500
Cr 0.125 0.750 0.875
Cr 0.125 0.875 0.250
Cr 0.250 0.125 0.875
Cr 0.250 0.625 0.375
Cr 0.375 0.250 0.625
Cr 0.375 0.625 0.750
Cr 0.500 0.000 0.000
Cr 0.500 0.000 0.500
Cr 0.500 0.500 0.000
Cr 0.500 0.500 0.500
Cr 0.625 0.375 0.250
Cr 0.625 0.750 0.375
Cr 0.750 0.375 0.625
Cr 0.750 0.875 0.125
Cr 0.875 0.125 0.750
Cr 0.875 0.250 0.125
H 0.023 0.191 0.107
H 0.023 0.332 0.916
H 0.084 0.607 0.416
H 0.084 0.691 0.668
H 0.084 0.893 0.416
H 0.084 0.977 0.668
H 0.107 0.023 0.191
H 0.107 0.584 0.916
H 0.168 0.191 0.584
H 0.168 0.477 0.584
H 0.191 0.107 0.023
H 0.191 0.584 0.168
H 0.309 0.332 0.916
H 0.309 0.477 0.393
H 0.332 0.916 0.023
H 0.332 0.916 0.309
H 0.393 0.309 0.477
H 0.393 0.584 0.916
H 0.416 0.084 0.607
H 0.416 0.084 0.893
H 0.416 0.832 0.523
H 0.416 0.832 0.809
H 0.477 0.393 0.309
H 0.477 0.584 0.168
H 0.523 0.416 0.832
H 0.523 0.607 0.691
H 0.584 0.168 0.191
H 0.584 0.168 0.477
H 0.584 0.916 0.107
H 0.584 0.916 0.393
H 0.607 0.416 0.084
H 0.607 0.691 0.523
H 0.668 0.084 0.691
H 0.668 0.084 0.977
H 0.691 0.523 0.607
H 0.691 0.668 0.084
H 0.809 0.416 0.832
H 0.809 0.893 0.977
H 0.832 0.523 0.416
H 0.832 0.809 0.416
H 0.893 0.416 0.084
H 0.893 0.977 0.809
H 0.916 0.023 0.332
H 0.916 0.107 0.584
H 0.916 0.309 0.332
H 0.916 0.393 0.584
H 0.977 0.668 0.084
H 0.977 0.809 0.893

***

(2)
CeCrH3 | PBE | optimized geometry

Values from the calculation:
E, eV per atom: -5.312
Space-group type: Pm-3m (221)
Spin magnetization, μB/atom: 0.169
Crystal system: cubic

a b c (Å): 3.628 3.628 3.628
angles (deg): 90.00 90.00 90.00
Fractional positions:
Ce 0.000 0.000 0.000
Cr 0.500 0.500 0.500
H 0.000 0.500 0.500
H 0.500 0.000 0.500
H 0.500 0.500 0.000

***

(3)
CeCrH4 | PBE | optimized geometry

Values from the calculation:
E, eV per atom: -5.036
Space-group type: Imma (74)
Spin magnetization, μB/atom: 0.248
Crystal system: orthorhombic

a b c (Å): 6.836 6.836 6.836
angles (deg): 142.93 142.16 54.01
Fractional positions:
Ce 0.386 0.136 0.250
Ce 0.614 0.864 0.750
Cr 0.174 0.424 0.750
Cr 0.826 0.576 0.250
H 0.000 0.260 0.260
H 0.000 0.740 0.740
H 0.193 0.682 0.511
H 0.329 0.318 0.011
H 0.500 0.260 0.760
H 0.500 0.740 0.240
H 0.671 0.682 0.989
H 0.807 0.318 0.489